Crystalline TbPa2Ga at its relaxed geometry, computed with PBE.

## Properties
Offset from the most stable computed form ... 246.3 meV/atom
ΔH_f (0 K) ... 0.16 eV per atom

Cell lengths 3.162, 3.162, 11.591 Å; angles 82.16, 82.16, 60.00 degrees
Element x y z (fractional)
Tb 0.000 0.000 0.000
Pa 0.093 0.093 0.722
Pa 0.907 0.907 0.278
Ga 0.500 0.500 0.500

Crystalline TbPa2Ga6 at its relaxed geometry, computed with PBE.

## Properties
Offset from the most stable computed form ... 147.5 meV/atom
ΔH_f (0 K) ... -0.27 eV per atom

Cell lengths 4.454, 7.696, 7.696 Å; angles 53.47, 73.18, 73.18 degrees
Element x y z (fractional)
Ga 0.307 0.394 0.992
Ga 0.500 0.290 0.710
Ga 0.500 0.710 0.290
Ga 0.693 0.008 0.606
Ga 0.693 0.606 0.008
Ga 0.307 0.992 0.394
Tb 0.000 0.000 0.000
Pa 0.896 0.604 0.604
Pa 0.104 0.396 0.396

Crystalline TbPa2Ga at its relaxed geometry, computed with PBE.

## Properties
Offset from the most stable computed form ... 0.0 meV/atom
ΔH_f (0 K) ... -0.08 eV per atom

Cell lengths 5.046, 4.349, 4.349 Å; angles 90.00, 90.00, 90.00 degrees
Element x y z (fractional)
Tb 0.500 0.500 0.500
Pa 0.000 0.500 0.000
Pa 0.000 0.000 0.500
Ga 0.500 0.000 0.000

Crystalline Tb2PaGa at its relaxed geometry, computed with PBE.

## Properties
Offset from the most stable computed form ... 0.0 meV/atom
ΔH_f (0 K) ... -0.15 eV per atom

Cell lengths 3.426, 3.426, 8.762 Å; angles 90.00, 90.00, 90.00 degrees
Element x y z (fractional)
Tb 0.000 0.000 0.221
Tb 0.000 0.000 0.779
Pa 0.500 0.500 0.500
Ga 0.500 0.500 0.000

Crystalline Tb2PaGa at its relaxed geometry, computed with PBE.

## Properties
Offset from the most stable computed form ... 88.8 meV/atom
ΔH_f (0 K) ... -0.07 eV per atom

Cell lengths 4.490, 4.729, 4.729 Å; angles 90.00, 90.00, 90.00 degrees
Element x y z (fractional)
Tb 0.000 0.000 0.500
Tb 0.000 0.500 0.000
Ga 0.500 0.500 0.500
Pa 0.500 0.000 0.000

Crystalline TbPaTlGa at its relaxed geometry, computed with PBE.

## Properties
ΔH_f (0 K) ... -0.07 eV per atom

Cell lengths 5.241, 5.241, 5.241 Å; angles 60.00, 60.00, 60.00 degrees
Element x y z (fractional)
Pa 0.500 0.500 0.500
Tl 0.750 0.750 0.750
Ga 0.250 0.250 0.250
Tb 0.000 0.000 0.000

Crystalline TbPaZnGa at its relaxed geometry, computed with PBE.

## Properties
ΔH_f (0 K) ... -0.18 eV per atom

Cell lengths 5.039, 5.039, 5.039 Å; angles 60.00, 60.00, 60.00 degrees
Element x y z (fractional)
Pa 0.500 0.500 0.500
Tb 0.000 0.000 0.000
Ga 0.750 0.750 0.750
Zn 0.250 0.250 0.250

Crystalline Pa5Ga2Tc2 at its relaxed geometry, computed with PBE.

## Properties
ΔH_f (0 K) ... -0.12 eV per atom

Cell lengths 8.055, 7.163, 8.064 Å; angles 116.37, 90.00, 90.00 degrees
Element x y z (fractional)
Tc 0.380 0.154 0.000
Tc 0.620 0.846 0.000
Tc 0.880 0.346 0.000
Tc 0.120 0.654 0.000
Pa 0.319 0.958 0.255
Pa 0.819 0.542 0.745
Pa 0.819 0.797 0.255
Pa 0.500 0.500 0.000
Pa 0.181 0.458 0.255
Pa 0.181 0.203 0.745
Pa 0.000 0.000 0.000
Pa 0.681 0.297 0.255
Pa 0.319 0.703 0.745
Pa 0.681 0.042 0.745
Ga 0.500 0.713 0.427
Ga 0.000 0.787 0.573
Ga 0.000 0.213 0.427
Ga 0.500 0.287 0.573

Across the entries above, VASP energy takes the values -6.499 -4.909 -6.745 -5.600 -5.512 -4.949 -4.788 -8.374 eV per atom, respectively.